No. 1
The following is a DFT calculation (PBE-GGA) of an optimized crystal structure of MnFeNi2Ru.

Properties
Energy (eV/f.u.): -31.80

Lattice parameters (Å, degrees): 4.496 4.496 4.405 90.00 90.00 90.00
Space group P4/mmm (No. 123)
Unique sites:
Mn 0.000 0.000 0.000
Fe 0.500 0.500 0.000
Ni 0.000 0.500 0.500
Ru 0.500 0.500 0.500

=====

No. 2
The following is a DFT calculation (PBE-GGA) of an optimized crystal structure of MnFeNiSb.

Properties
Raw formation energy (eV per atom): -0.004

Lattice parameters (Å, degrees): 6.040 6.040 6.040 90.00 90.00 90.00
Space group F-43m (No. 216)
Unique sites:
Mn 0.000 0.000 0.000
Fe 0.250 0.250 0.250
Ni 0.250 0.250 0.750
Sb 0.000 0.000 0.500

=====

No. 3
The following is a DFT calculation (PBE-GGA) of an optimized crystal structure of MnFeSiNi.

Properties
Raw formation energy (eV per atom): -0.318

Lattice parameters (Å, degrees): 5.664 5.664 5.664 90.00 90.00 90.00
Space group F-43m (No. 216)
Unique sites:
Mn 0.000 0.000 0.000
Fe 0.250 0.250 0.250
Si 0.000 0.000 0.500
Ni 0.250 0.250 0.750

=====

No. 4
The following is a DFT calculation (PBE-GGA) of an optimized crystal structure of TaMnFeNi.

Properties
Energy (eV/f.u.): -35.60

Lattice parameters (Å, degrees): 3.638 3.638 7.959 90.00 90.00 90.00
Space group I-4m2 (No. 119)
Unique sites:
Ta 0.000 0.000 0.000
Mn 0.000 0.500 0.750
Fe 0.000 0.000 0.500
Ni 0.000 0.500 0.250

=====

No. 5
The following is a DFT calculation (PBE-GGA) of an optimized crystal structure of TaMnFeNi.

Properties
Energy (eV/f.u.): -35.52

Lattice parameters (Å, degrees): 5.953 5.953 5.953 90.00 90.00 90.00
Space group F-43m (No. 216)
Unique sites:
Ta 0.000 0.000 0.000
Mn 0.000 0.000 0.500
Fe 0.250 0.250 0.750
Ni 0.250 0.250 0.250

=====

No. 6
The following is a DFT calculation (PBE-GGA) of an optimized crystal structure of TaMnFeNi.

Properties
Energy (eV/f.u.): -35.29

Lattice parameters (Å, degrees): 2.662 3.613 5.280 90.00 90.00 90.00
Space group Pmm2 (No. 25)
Unique sites:
Ta 0.000 0.000 0.000
Mn 0.000 0.000 0.489
Fe 0.500 0.500 0.281
Ni 0.500 0.500 0.735

=====

No. 7
The following is a DFT calculation (PBE-GGA) of an optimized crystal structure of TaMnFeNi.

Properties
Energy (eV/f.u.): -34.95

Lattice parameters (Å, degrees): 2.671 4.696 4.738 113.23 98.99 97.23
Space group P1 (No. 1)
Unique sites:
Ta 0.000 0.000 0.000
Mn 0.011 0.545 0.459
Fe 0.567 0.049 0.510
Ni 0.425 0.496 0.960

=====

No. 8
The following is a DFT calculation (PBE-GGA) of an optimized crystal structure of TaMnFeNi.

Properties
Energy (eV/f.u.): -35.73

Lattice parameters (Å, degrees): 3.469 3.801 3.923 90.00 90.00 90.00
Space group Pmmm (No. 47)
Unique sites:
Ta 0.000 0.000 0.000
Mn 0.000 0.500 0.500
Fe 0.500 0.500 0.000
Ni 0.500 0.000 0.500

=====

no.,magnetization (μB/f.u.)
1,3.3
2,5.5
3,4.8
4,4.6
5,4.3
6,0.5
7,4.2
8,3.6